# 1
Material: Mg2Os
Method: DFT, PBE-GGA
State: optimized geometry

a = 7.650 Å, b = 7.650 Å, c = 4.647 Å
α = 90.00°, β = 90.00°, γ = 157.68°
Element x y z (fractional)
Os 0.227 0.773 0.250
Os 0.773 0.227 0.750
Mg 0.570 0.430 0.250
Mg 0.878 0.122 0.250
Mg 0.122 0.878 0.750
Mg 0.430 0.570 0.750

Computed properties:
**Total energy**: -13.7 eV per formula unit
**ΔE_f**: 0.227 eV/atom
**DOS at the Fermi energy**: 3.7 states/eV per cell
**Space-group type**: Cmcm (63)

=====

# 2
Material: AlTl2Au
Method: DFT, PBE-GGA
State: optimized geometry

a = 4.569 Å, b = 4.569 Å, c = 7.152 Å
α = 71.64°, β = 71.64°, γ = 50.62°
Element x y z (fractional)
Al 0.534 0.534 0.365
Tl 0.784 0.784 0.698
Tl 0.966 0.966 0.051
Au 0.216 0.216 0.387

Computed properties:
**Total energy**: -11.9 eV per formula unit
**ΔE_f**: -0.036 eV/atom
**DOS at the Fermi energy**: 1.8 states/eV per cell
**Space-group type**: Cm (8)